Record 1
A plane-wave DFT calculation with PBE was carried out for a geometry-optimized Ta4Nb3Pd2 structure.

Cell: 5.630 11.455 6.008 Å, 73.99 75.99 61.38°
Element x y z (fractional)
Ta  0.475  0.250  0.983
Ta  0.962  0.024  0.747
Ta  0.525  0.750  0.017
Ta  0.038  0.976  0.253
Ta  0.999  0.500  0.244
Ta  0.558  0.739  0.499
Ta  0.001  0.500  0.756
Ta  0.442  0.261  0.501
Nb  0.044  0.214  0.931
Nb  0.478  0.008  0.757
Nb  0.956  0.786  0.069
Nb  0.522  0.992  0.243
Nb  0.697  0.398  0.622
Nb  0.303  0.602  0.378
Pd  0.659  0.406  0.144
Pd  0.928  0.798  0.608
Pd  0.341  0.594  0.856
Pd  0.072  0.202  0.392

Output
The symmetry is P-1, No. 2. The total energy is -9.70 eV per atom. The calculation puts the volume at 18.01 A^3/atom. The calculation puts the total magnetic moment at 0.00 μB per formula unit. As for the density of states at the Fermi level: 1.0120 states/eV per atom.



Record 2
A plane-wave DFT calculation with PBE was carried out for a geometry-optimized Ta6NbPd structure.

Cell: 4.636 5.711 5.711 Å, 109.83 90.00 90.00°
Element x y z (fractional)
Ta  0.500  0.125  0.375
Ta  0.500  0.625  0.875
Ta  0.000  0.382  0.132
Ta  0.000  0.868  0.618
Ta  0.000  0.375  0.625
Ta  0.000  0.875  0.125
Nb  0.500  0.625  0.375
Pd  0.500  0.125  0.875

Output
The symmetry is Cmmm, No. 65. The total energy is -10.86 eV per atom. The calculation puts the volume at 17.78 A^3/atom. The calculation puts the total magnetic moment at 0.00 μB per formula unit. As for the density of states at the Fermi level: 0.9383 states/eV per atom.



Record 3
A plane-wave DFT calculation with PBE was carried out for a geometry-optimized TaNb2Pd structure.

Cell: 3.328 3.328 6.359 Å, 90.00 90.00 90.00°
Element x y z (fractional)
Nb  0.000  0.000  0.756
Nb  0.000  0.000  0.244
Pd  0.500  0.500  0.500
Ta  0.500  0.500  0.000

Output
The symmetry is P4/mmm, No. 123. The total energy is -9.42 eV per atom. The calculation puts the volume at 17.61 A^3/atom. The calculation puts the total magnetic moment at 0.00 μB per formula unit. As for the density of states at the Fermi level: 1.1335 states/eV per atom.



Record 4
A plane-wave DFT calculation with PBE was carried out for a geometry-optimized Ta2Nb3Pd2 structure.

Cell: 3.328 3.227 11.874 Å, 90.00 98.06 90.00°
Element x y z (fractional)
Ta  0.143  0.000  0.286
Ta  0.857  0.000  0.714
Nb  0.429  0.500  0.858
Nb  0.571  0.500  0.142
Nb  0.000  0.000  0.000
Pd  0.297  0.500  0.593
Pd  0.703  0.500  0.407

Output
The symmetry is Cmmm, No. 65. The total energy is -9.31 eV per atom. The calculation puts the volume at 18.04 A^3/atom. The calculation puts the total magnetic moment at 0.00 μB per formula unit. As for the density of states at the Fermi level: 1.0141 states/eV per atom.



Record 5
A plane-wave DFT calculation with PBE was carried out for a geometry-optimized Ta2Nb2Pd7 structure.

Cell: 4.845 6.537 6.537 Å, 93.32 106.77 106.77°
Element x y z (fractional)
Ta  0.500  0.264  0.736
Ta  0.500  0.736  0.264
Nb  0.422  0.815  0.815
Nb  0.578  0.185  0.185
Pd  0.176  0.420  0.918
Pd  0.824  0.082  0.580
Pd  0.824  0.580  0.082
Pd  0.176  0.918  0.420
Pd  0.195  0.365  0.365
Pd  0.000  0.000  0.000
Pd  0.805  0.635  0.635

Output
The symmetry is C2/m, No. 12. The total energy is -7.43 eV per atom. The calculation puts the volume at 17.05 A^3/atom. The calculation puts the total magnetic moment at 0.00 μB per formula unit. As for the density of states at the Fermi level: 0.7728 states/eV per atom.



Record 6
A plane-wave DFT calculation with PBE was carried out for a geometry-optimized Ta7Nb2Pd2 structure.

Cell: 7.283 6.962 5.381 Å, 49.69 79.53 73.69°
Element x y z (fractional)
Ta  0.816  0.920  0.623
Ta  0.184  0.457  0.623
Ta  0.184  0.080  0.377
Ta  0.816  0.543  0.377
Ta  0.832  0.401  0.000
Ta  0.000  0.000  0.000
Ta  0.168  0.599  0.000
Nb  0.415  0.861  0.000
Nb  0.585  0.139  0.000
Pd  0.500  0.682  0.636
Pd  0.500  0.318  0.364

Output
The symmetry is C2/m, No. 12. The total energy is -10.31 eV per atom. The calculation puts the volume at 18.15 A^3/atom. The calculation puts the total magnetic moment at 0.00 μB per formula unit. As for the density of states at the Fermi level: 0.9585 states/eV per atom.